A geometry-optimized Sm2Zn3Pd5 structure, computed with PBE.

a b c (Å): 9.7504 13.4938 5.6029
angles (deg): 90.00 90.00 90.00
Last column: nearest neighbours and their distance in Å.
Space group Ibam (No. 72)
One atom of each set of equivalent atoms:
Sm: 0.2389 0.1426 0.0000 [8 per cell]  5 Pd 2.97-3.00, 4 Zn 3.00-3.30
Zn: 0.0000 0.5000 0.2500 [4 per cell]  6 Pd 2.60-2.63, 2 Zn 2.80
Zn: 0.0684 0.1566 0.5000 [8 per cell]  5 Pd 2.48-2.62
Pd: 0.0000 0.0000 0.2500 [4 per cell]  4 Zn 2.62, 2 Pd 2.80
Pd: 0.0000 0.3072 0.2500 [8 per cell]  3 Zn 2.56-2.60, 2 Pd 2.80
Pd: 0.2045 0.4266 0.0000 [8 per cell]  3 Zn 2.48-2.63

## Properties
energy relative to the elements	-0.660	eV per atom